# 1
The following is a PBEsol calculation of an optimized crystal structure of Ti3AsRh, from the Alexandria database.

Lattice parameters (Å, degrees): 4.543 4.543 4.543 90.00 90.00 90.00
Positions (direct):
Ti 0.000 0.000 0.500
Ti 0.000 0.500 0.000
Ti 0.500 0.000 0.000
As 0.000 0.000 0.000
Rh 0.500 0.500 0.500

Summary:
**SG**: Pm-3m
**Formation energy**: 0.3049 eV per atom
**Volume**: 18.7 A^3/atom
**Electronic total energy**: -7.34 eV/atom
**Total moment**: 0.000 μB per atom
**Fermi-level density of states**: 6.1 states/eV/cell


# 2
The following is a PBEsol calculation of an optimized crystal structure of AgRuPt2, from the Alexandria database.

Lattice parameters (Å, degrees): 2.737 2.737 7.959 90.00 90.00 90.00
Positions (direct):
Ag 0.000 0.000 0.000
Ru 0.500 0.500 0.739
Pt 0.000 0.000 0.514
Pt 0.500 0.500 0.262

Summary:
**SG**: P4mm
**Formation energy**: 0.1594 eV per atom
**Volume**: 14.9 A^3/atom
**Electronic total energy**: -6.69 eV/atom
**Total moment**: 0.000 μB per atom
**Fermi-level density of states**: 3.8 states/eV/cell


# 3
The following is a PBEsol calculation of an optimized crystal structure of Hf3Al4C6, from the Alexandria database.

Lattice parameters (Å, degrees): 16.323 16.323 16.323 11.60 11.60 11.60
Positions (direct):
Hf 0.000 0.000 0.000
Hf 0.388 0.388 0.388
Hf 0.612 0.612 0.612
Al 0.148 0.148 0.148
Al 0.232 0.232 0.232
Al 0.768 0.768 0.768
Al 0.852 0.852 0.852
C 0.082 0.082 0.082
C 0.193 0.193 0.193
C 0.306 0.306 0.306
C 0.694 0.694 0.694
C 0.807 0.807 0.807
C 0.918 0.918 0.918

Summary:
**SG**: R-3m
**Formation energy**: -0.5205 eV per atom
**Volume**: 11.8 A^3/atom
**Electronic total energy**: -8.65 eV/atom
**Total moment**: 0.000 μB per atom
**Fermi-level density of states**: 2.3 states/eV/cell


# 4
The following is a PBEsol calculation of an optimized crystal structure of SrPd3Pb, from the Alexandria database.

Lattice parameters (Å, degrees): 5.054 5.054 5.054 90.00 90.00 90.00
Positions (direct):
Sr 0.000 0.000 0.000
Pd 0.000 0.000 0.500
Pd 0.000 0.500 0.000
Pd 0.500 0.000 0.000
Pb 0.500 0.500 0.500

Summary:
**SG**: Pm-3m
**Formation energy**: 0.8384 eV per atom
**Volume**: 25.8 A^3/atom
**Electronic total energy**: -3.90 eV/atom
**Total moment**: 0.000 μB per atom
**Fermi-level density of states**: 2.6 states/eV/cell